The following is a GGA-PBE calculation of ZrIn2Co after structural relaxation, from OQMD via LeMat-Bulk.

extended XYZ file:
```
4
Lattice="-1.769 -4.358 -0.637 -1.768 -2.406 3.689 -4.677 -0.735 0.332" Properties=species:S:1:pos:R:3 pbc="T T T"
In 0.000 0.000 0.000
In -2.054 -1.875 0.846
Co -6.161 -5.624 2.538
Zr -4.107 -3.749 1.692
```

Calculated values
SG: F-43m, No. 216
Total energy, Ry/atom: -0.3825